CdAsW | GGA-PBE | relaxed

a b c (Å): 6.4863 6.4863 6.4863
angles (deg): 90.00 90.00 90.00
Last column: nearest neighbours and their distance in Å.
Space group F-43m (No. 216)
One atom of each set of equivalent atoms:
Cd (0.0000, 0.0000, 0.0000) x4  4 As 2.81, 4 W 2.81
As (0.2500, 0.2500, 0.7500) x4  4 Cd 2.81
W (0.2500, 0.2500, 0.2500) x4  4 Cd 2.81

Values from the calculation:
Formation energy   1.631 eV per atom
Offset from the most stable computed form   1.3068 eV per atom
Raw total energy   -4.542 eV per atom

CdAs2W | GGA-PBE | relaxed

a b c (Å): 3.0410 5.0225 11.9175
angles (deg): 90.00 90.00 90.00
Last column: nearest neighbours and their distance in Å.
Space group Immm (No. 71)
One atom of each set of equivalent atoms:
Cd (0.0000, 0.0000, 0.0000) x2  4 W 2.94, 2 Cd 3.04, 4 As 3.22
As (0.0000, 0.5000, 0.1691) x4  2 W 2.52
W (0.0000, 0.0000, 0.5000) x2  4 As 2.52

Values from the calculation:
Formation energy   0.307 eV per atom
Raw total energy   -5.485 eV per atom

CdAs2W | GGA-PBE | relaxed

a b c (Å): 3.4965 4.7182 4.9391
angles (deg): 90.00 110.58 90.00
Last column: nearest neighbours and their distance in Å.
Space group Pm (No. 6)
One atom of each set of equivalent atoms:
Cd (0.0000, 0.0000, 0.0000) x1  3 As 2.57-2.70
As (0.3210, 0.5000, 0.6459) x1  3 W 2.64-2.65
As (0.7206, 0.0000, 0.4452) x1  3 Cd 2.57-2.70, 2 W 2.58
W (0.6083, 0.5000, 0.2187) x1  5 As 2.58-2.65

Values from the calculation:
Formation energy   0.332 eV per atom
Raw total energy   -5.460 eV per atom

CdAs2W | GGA-PBE | relaxed

a b c (Å): 3.1292 3.3764 8.2442
angles (deg): 90.00 90.00 90.00
Last column: nearest neighbours and their distance in Å.
Space group Pmm2 (No. 25)
One atom of each set of equivalent atoms:
Cd (0.0000, 0.0000, 0.0000) x1  5 As 2.76-3.01
As (0.0000, 0.0000, 0.3342) x1  4 W 2.57, 1 Cd 2.76
As (0.5000, 0.5000, 0.7647) x1  1 W 2.40
W (0.5000, 0.5000, 0.4732) x1  5 As 2.40-2.57

Values from the calculation:
Formation energy   0.347 eV per atom
Raw total energy   -5.445 eV per atom

CdAsW | GGA-PBE | relaxed

a b c (Å): 3.2022 4.7422 17.0162
angles (deg): 90.00 90.00 90.00
Last column: nearest neighbours and their distance in Å.
Space group Fmm2 (No. 42)
One atom of each set of equivalent atoms:
Cd (0.0000, 0.0000, 0.0000) x4  6 Cd 2.86-3.20, 2 W 3.00
As (0.0000, 0.0000, 0.2659) x4  2 W 2.55
W (0.0000, 0.0000, 0.6493) x4  2 As 2.55

Values from the calculation:
Formation energy   0.407 eV per atom
Offset from the most stable computed form   0.0826 eV per atom
Raw total energy   -5.766 eV per atom

CdAsW | GGA-PBE | relaxed

a b c (Å): 4.6577 4.6577 2.8485
angles (deg): 90.00 90.00 120.00
Last column: nearest neighbours and their distance in Å.
Space group P-6m2 (No. 187)
One atom of each set of equivalent atoms:
Cd (0.0000, 0.0000, 0.0000) x1  2 Cd 2.85, 6 W 3.04, 6 As 3.04
As (0.3333, 0.6667, 0.5000) x1  3 W 2.69, 2 As 2.85
W (0.6667, 0.3333, 0.5000) x1  3 As 2.69, 2 W 2.85

Values from the calculation:
Formation energy   0.566 eV per atom
Offset from the most stable computed form   0.2418 eV per atom
Raw total energy   -5.607 eV per atom

Cd4AsW | GGA-PBE | relaxed

a b c (Å): 7.9141 7.9141 7.9141
angles (deg): 90.00 90.00 90.00
Last column: nearest neighbours and their distance in Å.
Space group F-43m (No. 216)
One atom of each set of equivalent atoms:
Cd (0.1245, 0.1245, 0.1245) x16  6 Cd 2.79-2.81
As (0.0000, 0.0000, 0.5000) x4  12 Cd 3.28, 4 W 3.43
W (0.2500, 0.2500, 0.7500) x4  12 Cd 3.28, 4 As 3.43

Values from the calculation:
Formation energy   0.812 eV per atom
Raw total energy   -2.732 eV per atom

CdAs2W | GGA-PBE | relaxed

a b c (Å): 3.9033 3.9033 9.5793
angles (deg): 90.00 90.00 90.00
Last column: nearest neighbours and their distance in Å.
Space group I-4m2 (No. 119)
One atom of each set of equivalent atoms:
Cd (0.0000, 0.0000, 0.0000) x2  8 As 2.76-3.09, 4 W 3.09
As (0.0000, 0.0000, 0.5000) x2  4 Cd 2.76, 4 As 3.09, 4 W 3.09
As (0.0000, 0.5000, 0.2500) x2  4 W 2.76, 4 Cd 3.09, 4 As 3.09
W (0.0000, 0.5000, 0.7500) x2  8 As 2.76-3.09, 4 Cd 3.09

Values from the calculation:
Formation energy   0.677 eV per atom
Raw total energy   -5.115 eV per atom